Below is CeHfTl after structural relaxation, with properties calculated at the PBE level.

crystal system = tetragonal
total DFT energy (no corrections) = -36.43 eV/cell
density of states at the Fermi level = 5.44 states/eV/f.u.
E above lowest polymorph = 0.000 eV per atom

a = 3.212 Å, b = 3.212 Å, c = 14.724 Å
α = 90.00°, β = 90.00°, γ = 90.00°
Space group I4mm (No. 107)
One atom of each set of equivalent atoms:
Ce 0.000 0.000 0.000 [2 per cell]
Hf 0.000 0.000 0.336 [2 per cell]
Tl 0.000 0.000 0.678 [2 per cell]

Below is CeHfTl2 after structural relaxation, with properties calculated at the PBE level.

crystal system = tetragonal
total DFT energy (no corrections) = -20.51 eV/cell
density of states at the Fermi level = 7.38 states/eV/f.u.

a = 4.719 Å, b = 4.719 Å, c = 4.596 Å
α = 90.00°, β = 90.00°, γ = 90.00°
Space group P4/mmm (No. 123)
One atom of each set of equivalent atoms:
Ce 0.000 0.000 0.000 [1 per cell]
Hf 0.500 0.500 0.000 [1 per cell]
Tl 0.000 0.500 0.500 [2 per cell]

Below is CeHfTl after structural relaxation, with properties calculated at the PBE level.

crystal system = trigonal
total DFT energy (no corrections) = -17.38 eV/cell
density of states at the Fermi level = 6.52 states/eV/f.u.
E above lowest polymorph = 0.278 eV per atom

a = 5.2218 Å, b = 5.2218 Å, c = 3.1525 Å
α = 90.00°, β = 90.00°, γ = 120.00°
Space group P3m1 (No. 156)
One atom of each set of equivalent atoms:
Ce 0.0000 0.0000 0.0000 [1 per cell]
Hf 0.6667 0.3333 0.0018 [1 per cell]
Tl 0.3333 0.6667 0.4997 [1 per cell]

Below is CeHfTl after structural relaxation, with properties calculated at the PBE level.

crystal system = triclinic
total DFT energy (no corrections) = -36.30 eV/cell
density of states at the Fermi level = 4.30 states/eV/f.u.
E above lowest polymorph = 0.023 eV per atom

a = 3.248 Å, b = 6.062 Å, c = 8.002 Å
α = 84.28°, β = 78.56°, γ = 89.73°
Space group P-1 (No. 2)
One atom of each set of equivalent atoms:
Ce 0.070 0.389 0.355 [2 per cell]
Hf 0.422 0.104 0.668 [2 per cell]
Tl 0.245 0.757 0.003 [2 per cell]

Below is CeHfTl2 after structural relaxation, with properties calculated at the PBE level.

crystal system = tetragonal
total DFT energy (no corrections) = -20.79 eV/cell
density of states at the Fermi level = 7.13 states/eV/f.u.

a = 3.297 Å, b = 3.297 Å, c = 9.158 Å
α = 90.00°, β = 90.00°, γ = 90.00°
Space group P4/mmm (No. 123)
One atom of each set of equivalent atoms:
Ce 0.000 0.000 0.000 [1 per cell]
Hf 0.000 0.000 0.500 [1 per cell]
Tl 0.500 0.500 0.267 [2 per cell]

Below is Ce2HfTl after structural relaxation, with properties calculated at the PBE level.

crystal system = tetragonal
total DFT energy (no corrections) = -24.27 eV/cell
density of states at the Fermi level = 9.98 states/eV/f.u.
E above lowest polymorph = 0.000 eV per atom

a = 4.448 Å, b = 4.448 Å, c = 5.064 Å
α = 90.00°, β = 90.00°, γ = 90.00°
Space group P4/mmm (No. 123)
One atom of each set of equivalent atoms:
Ce 0.000 0.500 0.000 [2 per cell]
Hf 0.000 0.000 0.500 [1 per cell]
Tl 0.500 0.500 0.500 [1 per cell]

Below is Ce2HfTl after structural relaxation, with properties calculated at the PBE level.

crystal system = trigonal
total DFT energy (no corrections) = -70.13 eV/cell
density of states at the Fermi level = 8.90 states/eV/f.u.
E above lowest polymorph = 0.223 eV per atom

a = 3.1764 Å, b = 3.1764 Å, c = 35.2936 Å
α = 90.00°, β = 90.00°, γ = 120.00°
Space group R-3m (No. 166, hexagonal axes)
One atom of each set of equivalent atoms:
Ce 0.0000 0.0000 0.0837 [6 per cell]
Hf 0.0000 0.0000 0.0000 [3 per cell]
Tl 0.0000 0.0000 0.5000 [3 per cell]

Below is CeTmHf2 after structural relaxation, with properties calculated at the PBE level.

crystal system = tetragonal
total DFT energy (no corrections) = -29.66 eV/cell
density of states at the Fermi level = 5.74 states/eV/f.u.
E above lowest polymorph = 0.000 eV per atom

a = 4.644 Å, b = 4.644 Å, c = 4.701 Å
α = 90.00°, β = 90.00°, γ = 90.00°
Space group P4/mmm (No. 123)
One atom of each set of equivalent atoms:
Ce 0.000 0.000 0.000 [1 per cell]
Tm 0.500 0.500 0.000 [1 per cell]
Hf 0.000 0.500 0.500 [2 per cell]

Below is Ce2TmHf after structural relaxation, with properties calculated at the PBE level.

crystal system = tetragonal
total DFT energy (no corrections) = -25.76 eV/cell
density of states at the Fermi level = 9.74 states/eV/f.u.
E above lowest polymorph = 0.000 eV per atom

a = 3.291 Å, b = 3.291 Å, c = 9.970 Å
α = 90.00°, β = 90.00°, γ = 90.00°
Space group P4/mmm (No. 123)
One atom of each set of equivalent atoms:
Ce 0.000 0.000 0.236 [2 per cell]
Tm 0.500 0.500 0.500 [1 per cell]
Hf 0.500 0.500 0.000 [1 per cell]

Below is CeTmHf after structural relaxation, with properties calculated at the PBE level.

crystal system = monoclinic
total DFT energy (no corrections) = -79.59 eV/cell
density of states at the Fermi level = 6.52 states/eV/f.u.
E above lowest polymorph = 0.026 eV per atom

a = 5.284 Å, b = 5.317 Å, c = 11.629 Å
α = 90.00°, β = 90.67°, γ = 90.00°
Space group C2/m (No. 12)
One atom of each set of equivalent atoms:
Ce 0.196 0.000 0.073 [4 per cell]
Tm 0.242 0.500 0.282 [4 per cell]
Hf 0.248 0.000 0.442 [4 per cell]

Below is CeTmHf after structural relaxation, with properties calculated at the PBE level.

crystal system = trigonal
total DFT energy (no corrections) = -19.98 eV/cell
density of states at the Fermi level = 5.25 states/eV/f.u.
E above lowest polymorph = 0.000 eV per atom

a = 3.3212 Å, b = 3.3212 Å, c = 8.2632 Å
α = 90.00°, β = 90.00°, γ = 120.00°
Space group P3m1 (No. 156)
One atom of each set of equivalent atoms:
Ce 0.0000 0.0000 0.0000 [1 per cell]
Tm 0.3333 0.6667 0.6419 [1 per cell]
Hf 0.6667 0.3333 0.3197 [1 per cell]

Below is CeTmHf2 after structural relaxation, with properties calculated at the PBE level.

crystal system = tetragonal
total DFT energy (no corrections) = -29.40 eV/cell
density of states at the Fermi level = 6.14 states/eV/f.u.
E above lowest polymorph = 0.064 eV per atom

a = 3.851 Å, b = 3.851 Å, c = 6.834 Å
α = 90.00°, β = 90.00°, γ = 90.00°
Space group P4/mmm (No. 123)
One atom of each set of equivalent atoms:
Ce 0.000 0.000 0.000 [1 per cell]
Tm 0.000 0.000 0.500 [1 per cell]
Hf 0.500 0.500 0.220 [2 per cell]

Below is Ce2TmHf after structural relaxation, with properties calculated at the PBE level.

crystal system = trigonal
total DFT energy (no corrections) = -75.27 eV/cell
density of states at the Fermi level = 10.51 states/eV/f.u.
E above lowest polymorph = 0.168 eV per atom

a = 3.1929 Å, b = 3.1929 Å, c = 35.9060 Å
α = 90.00°, β = 90.00°, γ = 120.00°
Space group R-3m (No. 166, hexagonal axes)
One atom of each set of equivalent atoms:
Ce 0.0000 0.0000 0.0818 [6 per cell]
Tm 0.0000 0.0000 0.5000 [3 per cell]
Hf 0.0000 0.0000 0.0000 [3 per cell]

Below is Ce2TmHf after structural relaxation, with properties calculated at the PBE level.

crystal system = cubic
total DFT energy (no corrections) = -100.91 eV/cell
density of states at the Fermi level = 11.95 states/eV/f.u.
E above lowest polymorph = 0.133 eV per atom

a = 7.605 Å, b = 7.605 Å, c = 7.605 Å
α = 90.00°, β = 90.00°, γ = 90.00°
Space group Fm-3m (No. 225)
One atom of each set of equivalent atoms:
Ce 0.250 0.250 0.250 [8 per cell]
Tm 0.000 0.000 0.000 [4 per cell]
Hf 0.000 0.000 0.500 [4 per cell]

Below is CeTmHf after structural relaxation, with properties calculated at the PBE level.

crystal system = tetragonal
total DFT energy (no corrections) = -39.94 eV/cell
density of states at the Fermi level = 6.12 states/eV/f.u.
E above lowest polymorph = 0.001 eV per atom

a = 3.266 Å, b = 3.266 Å, c = 15.026 Å
α = 90.00°, β = 90.00°, γ = 90.00°
Space group I4mm (No. 107)
One atom of each set of equivalent atoms:
Ce 0.000 0.000 0.000 [2 per cell]
Tm 0.000 0.000 0.685 [2 per cell]
Hf 0.000 0.000 0.340 [2 per cell]